{"formula": "Np2UN4", "functional": "PBE", "state": "relaxed", "magmom_total_mub_per_fu": 8.016, "sg": "I-42d", "raw_formation_energy_ev_per_fu": -7.717, "e_tot_ev_per_cell": -156.376, "dos_ef_per_ev_cell": 19.1, "lattice": [[6.1992, -0.0243, 0.0421], [-2.0883, 5.8369, -0.0421], [-2.0225, -2.9295, 5.0753]], "species": ["Np", "Np", "Np", "Np", "U", "U", "N", "N", "N", "N", "N", "N", "N", "N"], "fractional_positions": [[0.8750, 0.1292, 0.5042], [0.4958, 0.3708, 0.6250], [0.3750, 0.8708, 0.7458], [0.2542, 0.6292, 0.1250], [0.0000, 0.0000, 0.0000], [0.7500, 0.5000, 0.2500], [0.1187, 0.8820, 0.3710], [0.6290, 0.7476, 0.5109], [0.9867, 0.6180, 0.7391], [0.2609, 0.2476, 0.8790], [0.6313, 0.7524, 0.0133], [0.7633, 0.2524, 0.8813], [0.4891, 0.1180, 0.2367], [0.1210, 0.3820, 0.3687]]}